one:
A geometry-optimized CsIr structure. Source: the Alexandria database, functional PBE.

It has space group Imm2 (No. 44), with a = 4.414 Å, b = 10.489 Å, c = 6.434 Å, α = 90.00°, β = 90.00° and γ = 90.00°. Symmetry generates all atoms from Cs at (0.000, 0.186, 0.000), Ir at (0.000, 0.000, 0.487) and Ir at (0.000, 0.500, 0.853).

The density of states at the Fermi level comes out at 3.3 states/eV per cell.

=====

two:
A geometry-optimized CsIr structure. Source: the Alexandria database, functional PBE.

It has space group I-43m (No. 217), with a = 9.126 Å, b = 9.126 Å, c = 9.126 Å, α = 90.00°, β = 90.00° and γ = 90.00°. Symmetry generates all atoms from Cs at (0.228, 0.228, 0.228) and Ir at (0.101, 0.101, 0.899).

The density of states at the Fermi level comes out at 15.6 states/eV per cell.

=====

three:
A geometry-optimized CsIr structure. Source: the Alexandria database, functional PBE.

It has space group P4/mmm (No. 123), with a = 3.152 Å, b = 3.152 Å, c = 5.628 Å, α = 90.00°, β = 90.00° and γ = 90.00°. Symmetry generates all atoms from Cs at (0.000, 0.000, 0.000) and Ir at (0.500, 0.500, 0.500).

The density of states at the Fermi level comes out at 2.2 states/eV per cell.

=====

four:
A geometry-optimized CsIr structure. Source: the Alexandria database, functional PBE.

It has space group P6_3/m (No. 176), with a = 12.6388 Å, b = 12.6388 Å, c = 4.4060 Å, α = 90.00°, β = 90.00° and γ = 120.00°. Symmetry generates all atoms from Cs at (0.2134, 0.7851, 0.2500) and Ir at (0.0370, 0.5072, 0.7500).

The density of states at the Fermi level comes out at 6.1 states/eV per cell.

=====

Name the most stable of them. one.